[1]
This record from Alexandria describes a geometry-optimized Th2CuNi3Ge4 structure. The functional is PBE.

a b c (Å): 4.2048 4.2048 9.6713
angles (deg): 90.00 90.00 90.00
Fractional coordinates of all 10 atoms:
Th 0.0000 0.5000 0.2478
Th 0.5000 0.0000 0.7522
Cu 0.5000 0.5000 0.0000
Ni 0.0000 0.0000 0.0000
Ni 0.0000 0.5000 0.6214
Ni 0.5000 0.0000 0.3786
Ge 0.0000 0.0000 0.5000
Ge 0.0000 0.5000 0.8679
Ge 0.5000 0.0000 0.1321
Ge 0.5000 0.5000 0.5000

Computed properties:
- Mass density: 9.66 g/cm3
- DFT formation energy: -15.8 kcal/mol of atoms

[2]
This record from Alexandria describes a geometry-optimized NbTcAs2Au structure. The functional is PBE.

a b c (Å): 4.6687 4.6687 5.2084
angles (deg): 90.00 90.00 90.00
Fractional coordinates of all 5 atoms:
Nb 0.0000 0.0000 0.0000
Tc 0.5000 0.5000 0.5000
As 0.0000 0.5000 0.5000
As 0.5000 0.0000 0.5000
Au 0.5000 0.5000 0.0000

Computed properties:
- Mass density: 7.87 g/cm3
- DFT formation energy: 20.0 kcal/mol of atoms

[3]
This record from Alexandria describes a geometry-optimized CrIn structure. The functional is PBE.

a b c (Å): 4.8428 4.8428 4.8428
angles (deg): 38.61 38.61 38.61
Fractional coordinates of all 2 atoms:
Cr 0.0000 0.0000 0.0000
In 0.5000 0.5000 0.5000

Computed properties:
- Mass density: 6.97 g/cm3
- DFT formation energy: 12.1 kcal/mol of atoms

no.,DOS at the Fermi energy (states/eV per cell)
1,5.85
2,3.04
3,1.64